VASP calculation (SCAN) on a PBEsol-optimized structure of TlTePb2.

Cell: 3.3528 5.6550 6.5080 Å, 90.00 104.78 90.00°
Closest atoms and distances in Å follow each position.
Space group Pm (No. 6)
Unique sites:
Tl: 0.0000 0.0000 0.0000  3 Pb 3.27-3.47, 2 Tl 3.35, 4 Te 3.42-3.43
Te: 0.4254 0.5000 0.8468  1 Pb 3.10, 2 Te 3.35, 4 Tl 3.42-3.43
Pb: 0.2511 0.0000 0.5197  3 Tl 3.27-3.47, 6 Pb 3.35-3.48, 2 Te 3.50
Pb: 0.6650 0.5000 0.3400  1 Te 3.10, 4 Pb 3.35-3.47

E above lowest polymorph: 10 meV/atom
energy relative to the elements, uncorrected: -56.7 meV/atom

VASP calculation (SCAN) on a PBEsol-optimized structure of BeInAsSe2.

Cell: 5.1627 5.1627 5.1395 Å, 90.00 90.00 90.00°
Closest atoms and distances in Å follow each position.
Space group P4/mmm (No. 123)
Unique sites:
Be: 0.0000 0.0000 0.0000  8 Se 3.64, 4 As 3.65
In: 0.5000 0.5000 0.5000  2 As 2.57, 4 Se 2.58
As: 0.5000 0.5000 0.0000  2 In 2.57
Se: 0.0000 0.5000 0.5000  2 In 2.58

energy relative to the elements, uncorrected: 1114.8 meV/atom

VASP calculation (SCAN) on a PBEsol-optimized structure of BaCrAg2.

Cell: 4.4897 4.4897 9.2559 Å, 90.00 90.00 90.00°
Closest atoms and distances in Å follow each position.
Space group I-4m2 (No. 119)
Unique sites:
Ba: 0.0000 0.0000 0.0000  8 Ag 3.17-3.22, 4 Cr 3.22
Cr: 0.0000 0.5000 0.2500  8 Ag 3.17-3.22, 4 Ba 3.22
Ag: 0.0000 0.0000 0.5000  4 Ba 3.17, 4 Cr 3.22, 4 Ag 3.22
Ag: 0.0000 0.5000 0.7500  4 Cr 3.17, 4 Ag 3.22, 4 Ba 3.22

ΔE_f: 119 kJ/mol of formula units
E above lowest polymorph: 145 meV/atom

VASP calculation (SCAN) on a PBEsol-optimized structure of NaCo3Sb.

Cell: 4.7185 4.7185 4.7185 Å, 90.00 90.00 90.00°
Closest atoms and distances in Å follow each position.
Space group Pm-3m (No. 221)
Unique sites:
Na: 0.0000 0.0000 0.0000  12 Co 3.34
Co: 0.0000 0.5000 0.5000  2 Sb 2.36
Sb: 0.5000 0.5000 0.5000  6 Co 2.36

energy relative to the elements, uncorrected: 930.6 meV/atom

VASP calculation (SCAN) on a PBEsol-optimized structure of Cr2AgPtI.

Cell: 4.8558 4.8558 5.0858 Å, 90.00 90.00 90.00°
Closest atoms and distances in Å follow each position.
Space group P4/mmm (No. 123)
Unique sites:
Cr: 0.0000 0.5000 0.0000  2 Pt 2.43
Ag: 0.0000 0.0000 0.5000  2 Pt 2.54
Pt: 0.0000 0.0000 0.0000  4 Cr 2.43, 2 Ag 2.54
I: 0.5000 0.5000 0.5000  4 Ag 3.43, 8 Cr 3.52

energy relative to the elements, uncorrected: 515.7 meV/atom

VASP calculation (SCAN) on a PBEsol-optimized structure of Mg2CuAs.

Cell: 3.1035 3.6497 5.9036 Å, 90.00 90.00 90.00°
Closest atoms and distances in Å follow each position.
Space group Pmmm (No. 47)
Unique sites:
Mg: 0.0000 0.0000 0.2411  4 Cu 2.79, 4 As 2.84, 4 Mg 2.85-3.10
Cu: 0.5000 0.5000 0.0000  8 Mg 2.79, 2 As 2.95, 2 Cu 3.10
As: 0.5000 0.5000 0.5000  8 Mg 2.84, 2 Cu 2.95, 2 As 3.10

ΔE_f: -76 kJ/mol of formula units

VASP calculation (SCAN) on a PBEsol-optimized structure of YAsPb2.

Cell: 3.8445 5.1909 10.1442 Å, 90.00 90.00 90.00°
Closest atoms and distances in Å follow each position.
Space group Imm2 (No. 44)
Unique sites:
Y: 0.0000 0.0000 0.0000  2 As 2.94, 4 Pb 3.25
As: 0.0000 0.5000 0.7192  2 Y 2.94, 6 Pb 3.13-3.23
Pb: 0.0000 0.0000 0.4621  2 As 3.13, 4 Y 3.25, 4 Pb 3.35-3.49
Pb: 0.0000 0.5000 0.2323  4 As 3.23, 4 Y 3.33-3.51, 4 Pb 3.35-3.49

ΔE_f: -158 kJ/mol of formula units

VASP calculation (SCAN) on a PBEsol-optimized structure of YTaSb2.

Cell: 7.0500 7.0500 7.0500 Å, 90.00 90.00 90.00°
Closest atoms and distances in Å follow each position.
Space group Fm-3m (No. 225)
Unique sites:
Y: 0.0000 0.0000 0.0000  8 Sb 3.05
Ta: 0.0000 0.0000 0.5000  8 Sb 3.05
Sb: 0.2500 0.2500 0.2500  4 Ta 3.05, 4 Y 3.05

E above lowest polymorph: 90 meV/atom
energy relative to the elements, uncorrected: -242.0 meV/atom

VASP calculation (SCAN) on a PBEsol-optimized structure of ZnNiAg2.

Cell: 3.8560 3.8560 7.6317 Å, 90.00 90.00 90.00°
Closest atoms and distances in Å follow each position.
Space group I-4m2 (No. 119)
Unique sites:
Zn: 0.0000 0.0000 0.0000  4 Ni 2.71, 8 Ag 2.71-2.73
Ni: 0.0000 0.5000 0.7500  4 Zn 2.71, 8 Ag 2.71-2.73
Ag: 0.0000 0.0000 0.5000  4 Ni 2.71, 4 Ag 2.71, 4 Zn 2.73
Ag: 0.0000 0.5000 0.2500  4 Zn 2.71, 4 Ag 2.71, 4 Ni 2.73

ΔE_f: 37 kJ/mol of formula units

VASP calculation (SCAN) on a PBEsol-optimized structure of AgSnO3.

Cell: 7.4948 10.6193 3.2231 Å, 90.00 90.00 90.00°
Closest atoms and distances in Å follow each position.
Space group Cmmm (No. 65)
Unique sites:
Ag: 0.0000 0.0000 0.0000  4 O 2.38
Ag: 0.0000 0.5000 0.0000  4 O 2.01
Sn: 0.2500 0.2500 0.5000  6 O 2.08-2.09
O: 0.0000 0.1650 0.5000  2 Sn 2.08
O: 0.1928 0.3688 0.0000  1 Ag 2.01, 2 Sn 2.09

energy relative to the elements, uncorrected: -1070.2 meV/atom

VASP calculation (SCAN) on a PBEsol-optimized structure of NaTiZn2Pt.

Cell: 4.7294 4.7294 4.9679 Å, 90.00 90.00 90.00°
Closest atoms and distances in Å follow each position.
Space group P4/mmm (No. 123)
Unique sites:
Na: 0.0000 0.0000 0.0000  2 Pt 2.48
Ti: 0.5000 0.5000 0.0000  4 Na 3.34, 8 Zn 3.43
Zn: 0.0000 0.5000 0.5000  2 Pt 2.36
Pt: 0.0000 0.0000 0.5000  4 Zn 2.36, 2 Na 2.48

ΔE_f: 184 kJ/mol of formula units

VASP calculation (SCAN) on a PBEsol-optimized structure of CaZr2W.

Cell: 9.1526 2.9924 6.5058 Å, 90.00 92.85 90.00°
Closest atoms and distances in Å follow each position.
Space group C2/m (No. 12)
Unique sites:
Ca: 0.0000 0.0000 0.0000  6 Zr 2.99-3.34, 2 Ca 2.99
Zr: 0.2395 0.0000 0.7036  3 W 2.78-2.92, 1 Ca 2.99, 4 Zr 2.99-3.06
W: 0.0000 0.5000 0.5000  6 Zr 2.78-2.92, 2 W 2.99

ΔE_f: 189 kJ/mol of formula units